No. 1
PBE ZrTi2ZnMo, optimized geometry; E_form = 1.447 eV per atom; D(E_F) = 7.4 states/eV/cell; total magnetic moment = 0.56 μB/cell; calculated volume = 111 Å³ per cell
1.0
4.835 0.000 0.000
0.000 4.835 0.000
0.000 0.000 4.769
Zr Ti Zn Mo
1 2 1 1
direct
0.000 0.000 0.000 Zr
0.000 0.500 0.000 Ti
0.500 0.000 0.000 Ti
0.500 0.500 0.500 Zn
0.000 0.000 0.500 Mo

=====

No. 2
PBE MgSn2H, optimized geometry; energy above the most stable polymorph in this dataset = 0.0000 eV per atom; D(E_F) = 4.0 states/eV/cell; total magnetic moment = 0.00 μB/cell; calculated volume = 192 Å³ per cell
1.0
-2.759 2.759 6.307
2.759 -2.759 6.307
2.759 2.759 -6.307
Mg Sn H
2 4 2
direct
0.000 0.000 0.000 Mg
0.750 0.250 0.500 Mg
0.260 0.625 0.135 Sn
0.375 0.510 0.635 Sn
0.490 0.125 0.865 Sn
0.875 0.740 0.365 Sn
0.250 0.750 0.500 H
0.500 0.500 0.000 H